[1]
The following is a DFT calculation (GGA-PBE) of an optimized crystal structure of CaLaPdRh.

Cell: 4.2207 3.9953 11.2635 Å, 90.00 90.00 90.00°
Closest atoms and distances in Å follow each position.
Space group Amm2 (No. 38)
Unique sites:
Ca 0.0000 0.0000 0.0000 x2  4 Pd 2.98, 3 Rh 3.09-3.23
La 0.5000 0.0000 0.7212 x2  4 Rh 2.97, 3 Pd 3.16-3.18
Pd 0.5000 0.0000 0.4410 x2  2 Rh 2.82, 4 Ca 2.98, 1 La 3.16
Rh 0.0000 0.0000 0.2746 x2  2 Pd 2.82, 4 La 2.97, 1 Ca 3.09

Output
V = 190 Å³ per cell
DOS at the Fermi energy = 0.1875 states/eV per atom
E_form = -0.698 eV/atom
crystal system = orthorhombic

[2]
The following is a DFT calculation (GGA-PBE) of an optimized crystal structure of CaLaSbPd.

Cell: 7.5395 7.5395 7.5395 Å, 90.00 90.00 90.00°
Closest atoms and distances in Å follow each position.
Space group F-43m (No. 216)
Unique sites:
Ca 0.0000 0.0000 0.0000 x4  4 Sb 3.26, 4 Pd 3.26
La 0.0000 0.0000 0.5000 x4  4 Sb 3.26, 4 Pd 3.26
Sb 0.2500 0.2500 0.7500 x4  4 Ca 3.26, 4 La 3.26
Pd 0.2500 0.2500 0.2500 x4  4 La 3.26, 4 Ca 3.26

Output
V = 429 Å³ per cell
DOS at the Fermi energy = 0.3924 states/eV per atom
formation energy (no corrections) = -863 meV/atom
crystal system = cubic

[3]
The following is a DFT calculation (GGA-PBE) of an optimized crystal structure of CaLaSi2Pd5.

Cell: 4.2686 4.2686 9.0179 Å, 90.00 90.00 90.00°
Closest atoms and distances in Å follow each position.
Space group P4/mmm (No. 123)
Unique sites:
Ca 0.0000 0.0000 0.0000 x1  8 Pd 3.18, 8 Si 3.25
La 0.0000 0.0000 0.5000 x1  12 Pd 3.02-3.03
Si 0.5000 0.5000 0.1330 x2  1 Si 2.40, 4 Pd 2.43
Pd 0.0000 0.5000 0.2620 x4  2 Si 2.43
Pd 0.5000 0.5000 0.5000 x1  4 La 3.02, 8 Pd 3.03, 2 Si 3.31

Output
V = 164 Å³ per cell
DOS at the Fermi energy = 0.5004 states/eV per atom
formation energy (no corrections) = -829 meV/atom
crystal system = tetragonal

[4]
The following is a DFT calculation (GGA-PBE) of an optimized crystal structure of CaLaSiPd.

Cell: 7.2669 7.2669 7.2669 Å, 90.00 90.00 90.00°
Closest atoms and distances in Å follow each position.
Space group F-43m (No. 216)
Unique sites:
Ca 0.0000 0.0000 0.0000 x4  4 Si 3.15, 4 Pd 3.15
La 0.0000 0.0000 0.5000 x4  4 Pd 3.15, 4 Si 3.15
Si 0.2500 0.2500 0.7500 x4  4 La 3.15, 4 Ca 3.15
Pd 0.2500 0.2500 0.2500 x4  4 La 3.15, 4 Ca 3.15

Output
V = 384 Å³ per cell
DOS at the Fermi energy = 0.5672 states/eV per atom
formation energy (no corrections) = -603 meV/atom
crystal system = cubic

Look up the V of the third one. 164 Å³ per cell